[1]
# SrNdS2

Crystalline SrNdS2 at its relaxed geometry (PBE, Alexandria).

Its total energy is -22.91 eV/f.u.

a b c (Å): 7.1432 4.1231 7.3162
angles (deg): 90.00 108.91 90.00
Last column: nearest neighbours and their distance in Å.
Space group C2/m (No. 12)
Inequivalent atoms, fractional coordinates:
Sr: 0.0000 0.0000 0.0000 x2  6 S 2.98
Nd: 0.0000 0.5000 0.5000 x2  6 S 2.90-2.91
S: 0.2470 0.0000 0.7408 x4  3 Nd 2.90-2.91, 3 Sr 2.98

[2]
# TbCe3N4

Crystalline TbCe3N4 at its relaxed geometry (PBE, Alexandria).

Its total energy is -68.01 eV/f.u.

a b c (Å): 7.1066 10.0393 3.5519
angles (deg): 90.00 90.00 90.00
Last column: nearest neighbours and their distance in Å.
Space group Cmmm (No. 65)
Inequivalent atoms, fractional coordinates:
Tb: 0.0000 0.0000 0.0000 x2  6 N 2.50-2.51
Ce: 0.0000 0.5000 0.0000 x2  6 N 2.51-2.52
Ce: 0.2500 0.2500 0.5000 x4  6 N 2.51
N: 0.0000 0.2488 0.0000 x4  1 Tb 2.50, 5 Ce 2.51-2.52
N: 0.2497 0.0000 0.5000 x4  4 Ce 2.51, 2 Tb 2.51

[3]
# Sm3ZrSe6

Crystalline Sm3ZrSe6 at its relaxed geometry (PBE, Alexandria).

Its total energy is -60.45 eV/f.u.

a b c (Å): 12.5884 12.5884 12.0849
angles (deg): 90.00 90.00 120.00
Last column: nearest neighbours and their distance in Å.
Space group R-3 (No. 148, hexagonal axes)
Inequivalent atoms, fractional coordinates:
Sm: 0.0520 0.4393 0.3171 x18  7 Se 2.90-3.22
Zr: 0.0000 0.0000 0.0000 x3  6 Se 2.69
Zr: 0.0000 0.0000 0.5000 x3  6 Se 2.74
Se: 0.0337 0.2069 0.3936 x18  1 Zr 2.74, 3 Sm 2.91-3.04
Se: 0.0506 0.2003 0.8807 x18  1 Zr 2.69, 2 Sm 2.90-2.96

[4]
# Y2Tl2H

Crystalline Y2Tl2H at its relaxed geometry (PBE, Alexandria).

Its total energy is -22.84 eV/f.u.

a b c (Å): 3.7198 12.1267 10.4475
angles (deg): 90.00 90.00 90.00
Last column: nearest neighbours and their distance in Å.
Space group Cmc2_1 (No. 36)
Inequivalent atoms, fractional coordinates:
Y: 0.0000 0.0556 0.0000 x4  1 H 2.12
Y: 0.0000 0.3407 0.7709 x4  2 H 2.12
Tl: 0.0000 0.2168 0.5081 x4  6 Y 3.13-3.33, 2 Tl 3.22, 2 H 3.44
Tl: 0.0000 0.4032 0.2176 x4  2 H 3.10, 3 Y 3.16-3.47, 2 Tl 3.22
H: 0.0000 0.1067 0.1944 x4  3 Y 2.12

[5]
# PuSbCl

Crystalline PuSbCl at its relaxed geometry (PBE, Alexandria).

Its total energy is -22.69 eV/f.u.

a b c (Å): 4.7849 4.7849 3.9245
angles (deg): 90.00 90.00 120.00
Last column: nearest neighbours and their distance in Å.
Space group P-6m2 (No. 187)
Inequivalent atoms, fractional coordinates:
Pu: 0.0000 0.0000 0.0000 x1  3 Cl 2.76
Sb: 0.6667 0.3333 0.5000 x1  6 Pu 3.39, 6 Cl 3.39
Cl: 0.3333 0.6667 0.0000 x1  3 Pu 2.76

[6]
# LiAl

Crystalline LiAl at its relaxed geometry (PBE, Alexandria).

Its calculated formation energy is -0.11 eV/atom. Its total energy is -5.88 eV/f.u.

a b c (Å): 10.7729 3.0318 6.2566
angles (deg): 90.00 104.40 90.00
Last column: nearest neighbours and their distance in Å.
Space group Cm (No. 8)
Inequivalent atoms, fractional coordinates:
Li: 0.0000 0.0000 0.0000 x2  3 Li 2.70-2.78, 6 Al 2.83-2.89
Li: 0.0445 0.0000 0.5933 x2  3 Li 2.70-2.83, 7 Al 2.77-2.97
Li: 0.3775 0.0000 0.2595 x2  6 Al 2.77-3.07, 6 Li 2.78-3.03
Al: 0.1711 0.5000 0.3431 x2  5 Al 2.75-3.03, 7 Li 2.77-3.07
Al: 0.2101 0.5000 0.9250 x2  5 Al 2.72-3.03, 7 Li 2.82-3.04
Al: 0.3276 0.0000 0.6733 x2  6 Al 2.72-3.03, 6 Li 2.77-2.97

[7]
# Nd6Si2PbBr3

Crystalline Nd6Si2PbBr3 at its relaxed geometry (PBE, Alexandria).

Its total energy is -60.31 eV/f.u.

a b c (Å): 19.2951 4.3483 8.8858
angles (deg): 90.00 103.63 90.00
Last column: nearest neighbours and their distance in Å.
Space group C2/m (No. 12)
Inequivalent atoms, fractional coordinates:
Nd: 0.0155 0.0000 0.2564 x4  1 Si 2.87, 2 Pb 3.11, 2 Br 3.13
Nd: 0.1682 0.5000 0.1250 x4  2 Si 2.91, 1 Br 3.15, 1 Pb 3.17
Nd: 0.1763 0.5000 0.5685 x4  3 Si 2.91-2.94
Si: 0.1685 0.0000 0.3420 x4  6 Nd 2.87-2.94
Pb: 0.0000 0.5000 0.0000 x2  6 Nd 3.11-3.17
Br: 0.0000 0.5000 0.5000 x2  6 Nd 3.13-3.31
Br: 0.1653 0.0000 0.8366 x4  6 Nd 3.15-3.39

[8]
# KNaSr2

Crystalline KNaSr2 at its relaxed geometry (PBE, Alexandria).

Its calculated formation energy is 0.09 eV/atom. Its total energy is -5.43 eV/f.u.

a b c (Å): 4.2670 4.2670 41.7626
angles (deg): 90.00 90.00 120.00
Last column: nearest neighbours and their distance in Å.
Space group R3m (No. 160, hexagonal axes)
Inequivalent atoms, fractional coordinates:
K: 0.0000 0.0000 0.0000 x3  6 K 4.27, 6 Sr 4.53
Na: 0.0000 0.0000 0.1666 x3  6 Sr 4.00, 6 Na 4.27
Sr: 0.0000 0.0000 0.5756 x3  3 Na 4.00, 6 Sr 4.27
Sr: 0.0000 0.0000 0.7578 x3  3 Na 4.00, 6 Sr 4.27

[9]
# ZnSiP2

Crystalline ZnSiP2 at its relaxed geometry (PBE, Alexandria).

Its total energy is -17.09 eV/f.u.

a b c (Å): 3.5456 3.5456 4.9899
angles (deg): 90.00 90.00 90.00
Last column: nearest neighbours and their distance in Å.
Space group P4/mmm (No. 123)
Inequivalent atoms, fractional coordinates:
Zn: 0.0000 0.0000 0.0000 x1  6 P 2.49-2.51
Si: 0.5000 0.5000 0.5000 x1  6 P 2.49-2.51
P: 0.0000 0.0000 0.5000 x1  2 Zn 2.49, 4 Si 2.51
P: 0.5000 0.5000 0.0000 x1  2 Si 2.49, 4 Zn 2.51

Number 1: M_tot 0.00 μB per formula unit, N(E_F) 2.79 states/eV per cell. Number 2: M_tot 0.81 μB per formula unit, N(E_F) 15.03 states/eV per cell. Number 3: M_tot 0.00 μB per formula unit, N(E_F) 14.26 states/eV per cell. Number 4: M_tot 0.00 μB per formula unit, N(E_F) 8.46 states/eV per cell. Number 5: M_tot 4.66 μB per formula unit, N(E_F) 8.44 states/eV per cell. Number 6: M_tot 0.00 μB per formula unit, N(E_F) 3.98 states/eV per cell. Number 7: M_tot 0.00 μB per formula unit, N(E_F) 11.08 states/eV per cell. Number 8: M_tot 0.00 μB per formula unit, N(E_F) 10.59 states/eV per cell. Number 9: M_tot 0.00 μB per formula unit, N(E_F) 1.82 states/eV per cell.